Computed, not measured: a geometry-optimized TlFe2W structure at the GGA-PBE level of DFT.

Raw total energy in eV per atom: -7.4470
Calculated density in g/cm³: 14.32
Magnetization in Bohr magnetons per cell: 5.2
Calculated volume in A^3/atom: 14.49

Cell: 6.144 6.144 6.144 Å, 90.00 90.00 90.00°
Fractional coordinates of all 16 atoms:
Tl1 0.000 0.000 0.000
Tl2 0.000 0.500 0.500
Tl3 0.500 0.000 0.500
Tl4 0.500 0.500 0.000
Fe1 0.250 0.250 0.250
Fe2 0.250 0.250 0.750
Fe3 0.250 0.750 0.250
Fe4 0.250 0.750 0.750
Fe5 0.750 0.250 0.250
Fe6 0.750 0.250 0.750
Fe7 0.750 0.750 0.250
Fe8 0.750 0.750 0.750
W1 0.000 0.000 0.500
W2 0.000 0.500 0.000
W3 0.500 0.000 0.000
W4 0.500 0.500 0.500